[1]
A relaxed Rb3Nd2DySe6 crystal, computed with GGA-PBE.

Cell: 7.506 7.506 8.401 Å, 98.57 98.57 120.00°
Element x y z (fractional)
Rb 0.168 0.832 0.500
Rb 0.832 0.168 0.500
Rb 0.500 0.500 0.500
Nd 0.334 0.666 0.000
Nd 0.666 0.334 0.000
Dy 0.000 0.000 0.000
Se 0.934 0.608 0.801
Se 0.741 0.741 0.199
Se 0.066 0.392 0.199
Se 0.608 0.934 0.801
Se 0.259 0.259 0.801
Se 0.392 0.066 0.199

Values from the calculation:
- Formation energy from raw total energies: -1.734 eV per atom
- Magnetic moment: 0.0 μB/cell

---

[2]
A relaxed RbNdDy4Se8 crystal, computed with GGA-PBE.

Cell: 8.619 8.619 8.758 Å, 60.52 60.52 60.00°
Element x y z (fractional)
Rb 0.370 0.370 0.890
Nd 0.005 0.005 0.984
Dy 0.626 0.626 0.123
Dy 0.004 0.487 0.505
Dy 0.487 0.004 0.505
Dy 0.004 0.004 0.505
Se 0.239 0.800 0.722
Se 0.800 0.239 0.722
Se 0.239 0.239 0.722
Se 0.230 0.230 0.309
Se 0.754 0.231 0.261
Se 0.231 0.754 0.261
Se 0.754 0.754 0.261
Se 0.757 0.757 0.729

Values from the calculation:
- Formation energy from raw total energies: -1.719 eV per atom
- Magnetic moment: 0.0 μB/cell

---

[3]
A relaxed Rb3NdDy3Te8 crystal, computed with GGA-PBE.

Cell: 8.890 8.892 10.187 Å, 115.92 90.00 119.99°
Element x y z (fractional)
Rb 0.000 0.000 0.000
Rb 0.000 0.500 0.000
Rb 0.500 0.500 0.000
Nd 0.000 0.000 0.500
Dy 0.500 0.000 0.500
Dy 0.500 0.500 0.500
Dy 0.000 0.500 0.500
Te 0.267 0.534 0.301
Te 0.733 0.466 0.699
Te 0.761 0.522 0.298
Te 0.239 0.478 0.702
Te 0.761 0.037 0.298
Te 0.239 0.963 0.702
Te 0.276 0.037 0.298
Te 0.724 0.963 0.702

Values from the calculation:
- Formation energy from raw total energies: -1.317 eV per atom
- Magnetic moment: 0.0 μB/cell

---

[4]
A relaxed Rb2NdDyTe4 crystal, computed with GGA-PBE.

Cell: 4.589 7.949 8.965 Å, 107.17 90.00 90.00°
Element x y z (fractional)
Rb 0.500 0.000 0.500
Rb 0.000 0.500 0.500
Nd 0.500 0.500 0.000
Dy 0.000 0.000 0.000
Te 0.500 0.227 0.200
Te 0.500 0.773 0.800
Te 0.000 0.259 0.796
Te 0.000 0.741 0.204

Values from the calculation:
- Formation energy from raw total energies: -1.394 eV per atom
- Magnetic moment: 0.0 μB/cell

---

[5]
A relaxed Rb3Nd2DyTe6 crystal, computed with GGA-PBE.

Cell: 7.984 7.984 8.973 Å, 98.53 98.53 120.01°
Element x y z (fractional)
Rb 0.169 0.831 0.500
Rb 0.831 0.169 0.500
Rb 0.500 0.500 0.500
Nd 0.334 0.666 0.000
Nd 0.666 0.334 0.000
Dy 0.000 0.000 0.000
Te 0.933 0.606 0.797
Te 0.742 0.742 0.204
Te 0.067 0.394 0.203
Te 0.606 0.933 0.797
Te 0.258 0.258 0.796
Te 0.394 0.067 0.203

Values from the calculation:
- Formation energy from raw total energies: -1.399 eV per atom
- Magnetic moment: 0.0 μB/cell

---

[6]
A relaxed Rb4NdDy3Te8 crystal, computed with GGA-PBE.

Cell: 9.116 10.050 9.116 Å, 116.99 120.00 90.00°
Element x y z (fractional)
Rb 0.500 0.000 0.000
Rb 0.500 0.000 0.500
Rb 0.000 0.000 0.000
Rb 0.000 0.000 0.500
Nd 0.000 0.500 0.000
Dy 0.500 0.500 0.000
Dy 0.500 0.500 0.500
Dy 0.000 0.500 0.500
Te 0.237 0.701 0.964
Te 0.237 0.701 0.474
Te 0.267 0.302 0.534
Te 0.727 0.701 0.964
Te 0.273 0.299 0.036
Te 0.733 0.698 0.466
Te 0.763 0.299 0.526
Te 0.763 0.299 0.036

Values from the calculation:
- Formation energy from raw total energies: -1.388 eV per atom
- Magnetic moment: 0.0 μB/cell